(1)
Crystalline TlVGeCl6 at its relaxed geometry. Source: the Alexandria database, functional GGA-PBE.

Its total energy is -4.07 eV/atom.

It has space group P312 (No. 149), with a = 6.6531 Å, b = 6.6531 Å, c = 6.9573 Å, α = 90.00°, β = 90.00° and γ = 120.00°. The inequivalent atoms are Tl at (0.0000, 0.0000, 0.0000), V at (0.6667, 0.3333, 0.5000), Ge at (0.3333, 0.6667, 0.5000) and Cl at (0.3841, 0.0279, 0.6996).

=====

(2)
Crystalline BaZnBiF at its relaxed geometry. Source: the Alexandria database, functional GGA-PBE.

Its total energy is -3.93 eV/atom.

It has space group P4/nmm (No. 129, origin choice 2), with a = 4.586 Å, b = 4.586 Å, c = 9.950 Å, α = 90.00°, β = 90.00° and γ = 90.00°. The inequivalent atoms are Ba at (0.250, 0.250, 0.146), Zn at (0.250, 0.750, 0.500), Bi at (0.250, 0.250, 0.673) and F at (0.250, 0.750, 0.000).

=====

(3)
Crystalline Pm3AlAg at its relaxed geometry. Source: the Alexandria database, functional GGA-PBE.

The calculation puts the formation energy at -0.218 eV/atom.

It has space group Cmcm (No. 63), with a = 5.286 Å, b = 19.895 Å, c = 5.293 Å, α = 90.00°, β = 90.00° and γ = 90.00°. The inequivalent atoms are Pm at (0.000, 0.062, 0.250), Pm at (0.000, 0.248, 0.250), Pm at (0.000, 0.432, 0.250), Al at (0.000, 0.155, 0.750) and Ag at (0.000, 0.342, 0.750).

=====

(4)
Crystalline PmTmSn2 at its relaxed geometry. Source: the Alexandria database, functional GGA-PBE.

The calculation puts the formation energy at -0.612 eV/atom.

It has space group R-3m (No. 166, hexagonal axes), with a = 4.9897 Å, b = 4.9897 Å, c = 15.9246 Å, α = 90.00°, β = 90.00° and γ = 120.00°. The inequivalent atoms are Pm at (0.0000, 0.0000, 0.0000), Tm at (0.0000, 0.0000, 0.5000) and Sn at (0.0000, 0.0000, 0.2437).

=====

(5)
Crystalline Mg5Ag at its relaxed geometry. Source: the Alexandria database, functional GGA-PBE.

The calculation puts the formation energy at -0.070 eV/atom.

It has space group Amm2 (No. 38), with a = 5.046 Å, b = 9.296 Å, c = 5.376 Å, α = 90.00°, β = 90.00° and γ = 90.00°. The inequivalent atoms are Mg at (0.000, 0.000, 0.000), Mg at (0.000, 0.162, 0.516), Mg at (0.500, 0.166, 0.180) and Ag at (0.500, 0.000, 0.679).

=====

(6)
Crystalline TbHg2Te at its relaxed geometry. Source: the Alexandria database, functional GGA-PBE.

Its total energy is -1.99 eV/atom.

It has space group R-3m (No. 166, hexagonal axes), with a = 3.5044 Å, b = 3.5044 Å, c = 34.3160 Å, α = 90.00°, β = 90.00° and γ = 120.00°. The inequivalent atoms are Tb at (0.0000, 0.0000, 0.0000), Hg at (0.0000, 0.0000, 0.0883) and Te at (0.0000, 0.0000, 0.5000).

=====

For reference, DOS at the Fermi energy by record: 6.5 0.6 6.5 2.4 3.3 3.5 states/eV/f.u..